A plane-wave DFT calculation with PBEsol was carried out for a geometry-optimized Li2ScBi2 structure.

## Properties
**Crystal system**: tetragonal
**Formation energy from the elements**: -9.43 kcal/mol of atoms
**Fermi-level density of states**: 4.63 states/eV/cell
**Space group**: P4/mbm, No. 127
**Electronic total energy**: -4.23 eV per atom

a = 8.248 Å, b = 8.248 Å, c = 3.351 Å
α = 90.00°, β = 90.00°, γ = 90.00°
Element x y z (fractional)
Li 0.123 0.377 0.000
Li 0.377 0.877 0.000
Li 0.623 0.123 0.000
Li 0.877 0.623 0.000
Sc 0.000 0.000 0.500
Sc 0.500 0.500 0.500
Bi 0.175 0.675 0.500
Bi 0.325 0.175 0.500
Bi 0.675 0.825 0.500
Bi 0.825 0.325 0.500